No. 1
# Ba5PBr5 (PBE, relaxed)
data_Ba5PBr5
_chemical_formula_sum 'Ba10 P2 Br10'
_cell_length_a 14.889
_cell_length_b 6.620
_cell_length_c 9.420
_cell_angle_alpha 90.00
_cell_angle_beta 108.64
_cell_angle_gamma 90.00
_symmetry_space_group_name_H-M 'C 1 2/m 1'
_symmetry_Int_Tables_number 12
loop_
_symmetry_equiv_pos_as_xyz
'x,y,z'
'-x,-y,-z'
'-x,y,-z'
'x,-y,z'
'x+1/2,y+1/2,z'
'-x+1/2,-y+1/2,-z'
'-x+1/2,y+1/2,-z'
'x+1/2,-y+1/2,z'
loop_
_atom_site_label
_atom_site_type_symbol
_atom_site_fract_x
_atom_site_fract_y
_atom_site_fract_z
_atom_site_occupancy
Ba1 Ba 0.000 0.000 0.000 1
Ba2 Ba 0.155 0.500 0.313 1
Ba3 Ba 0.156 0.500 0.843 1
P1 P 0.000 0.500 0.000 1
Br1 Br 0.000 0.500 0.500 1
Br2 Br 0.167 0.000 0.829 1
Br3 Br 0.173 0.000 0.337 1
# E = -3.86 eV per atom
# raw formation energy = -1842 kJ/mol of formula units

No. 2
# Ba2PBr (PBE, relaxed)
data_Ba2PBr
_chemical_formula_sum 'Ba6 P3 Br3'
_cell_length_a 4.6406
_cell_length_b 4.6406
_cell_length_c 24.7964
_cell_angle_alpha 90.00
_cell_angle_beta 90.00
_cell_angle_gamma 120.00
_symmetry_space_group_name_H-M 'R 3 m'
_symmetry_Int_Tables_number 160
_symmetry_space_group_name_Hall 'R 3 -2"'
loop_
_atom_site_label
_atom_site_type_symbol
_atom_site_fract_x
_atom_site_fract_y
_atom_site_fract_z
_atom_site_occupancy
Ba1 Ba 0.0000 0.0000 0.0000 1
Ba2 Ba 0.0000 0.0000 0.1941 1
P1 P 0.0000 0.0000 0.5970 1
Br1 Br 0.0000 0.0000 0.7663 1
# E = -4.27 eV per atom
# raw formation energy = -593 kJ/mol of formula units

No. 3
# Ba3PBr3 (PBE, relaxed)
data_Ba3PBr3
_chemical_formula_sum 'Ba12 P4 Br12'
_cell_length_a 9.168
_cell_length_b 9.723
_cell_length_c 13.755
_cell_angle_alpha 90.00
_cell_angle_beta 90.00
_cell_angle_gamma 90.00
_symmetry_space_group_name_H-M 'I m m a'
_symmetry_Int_Tables_number 74
_symmetry_space_group_name_Hall '-I 2b 2'
loop_
_atom_site_label
_atom_site_type_symbol
_atom_site_fract_x
_atom_site_fract_y
_atom_site_fract_z
_atom_site_occupancy
Ba1 Ba 0.000 0.250 0.005 1
Ba2 Ba 0.250 0.032 0.250 1
P1 P 0.000 0.250 0.226 1
Br1 Br 0.000 0.250 0.758 1
Br2 Br 0.241 0.000 0.000 1
# E = -4.09 eV per atom
# raw formation energy = -1197 kJ/mol of formula units

No. 4
# Ba5P2Br2 (PBE, relaxed)
data_Ba5P2Br2
_chemical_formula_sum 'Ba20 P8 Br8'
_cell_length_a 16.714
_cell_length_b 8.885
_cell_length_c 8.985
_cell_angle_alpha 90.00
_cell_angle_beta 90.00
_cell_angle_gamma 90.00
_symmetry_space_group_name_H-M 'C m c e'
_symmetry_Int_Tables_number 64
_symmetry_space_group_name_Hall '-C 2ac 2'
loop_
_atom_site_label
_atom_site_type_symbol
_atom_site_fract_x
_atom_site_fract_y
_atom_site_fract_z
_atom_site_occupancy
Ba1 Ba 0.000 0.000 0.000 1
Ba2 Ba 0.121 0.147 0.356 1
P1 P 0.000 0.160 0.659 1
Br1 Br 0.197 0.000 0.000 1
# E = -3.86 eV per atom
# raw formation energy = -1059 kJ/mol of formula units

No. 5
# BaPBr3 (PBE, relaxed)
data_BaPBr3
_chemical_formula_sum 'Ba1 P1 Br3'
_cell_length_a 6.374
_cell_length_b 6.374
_cell_length_c 6.374
_cell_angle_alpha 90.00
_cell_angle_beta 90.00
_cell_angle_gamma 90.00
_symmetry_space_group_name_H-M 'P m -3 m'
_symmetry_Int_Tables_number 221
_symmetry_space_group_name_Hall '-P 4 2 3'
loop_
_atom_site_label
_atom_site_type_symbol
_atom_site_fract_x
_atom_site_fract_y
_atom_site_fract_z
_atom_site_occupancy
Ba1 Ba 0.000 0.000 0.000 1
P1 P 0.500 0.500 0.500 1
Br1 Br 0.000 0.000 0.500 1
# E = -2.88 eV per atom
# raw formation energy = -196 kJ/mol of formula units
# distance to the lowest polymorph of the same formula = 387.6 meV per atom

No. 6
# Ba4PBr4 (PBE, relaxed)
data_Ba4PBr4
_chemical_formula_sum 'Ba8 P2 Br8'
_cell_length_a 15.818
_cell_length_b 4.724
_cell_length_c 11.756
_cell_angle_alpha 90.00
_cell_angle_beta 120.93
_cell_angle_gamma 90.00
_symmetry_space_group_name_H-M 'C 1 2/m 1'
_symmetry_Int_Tables_number 12
loop_
_symmetry_equiv_pos_as_xyz
'x,y,z'
'-x,-y,-z'
'-x,y,-z'
'x,-y,z'
'x+1/2,y+1/2,z'
'-x+1/2,-y+1/2,-z'
'-x+1/2,y+1/2,-z'
'x+1/2,-y+1/2,z'
loop_
_atom_site_label
_atom_site_type_symbol
_atom_site_fract_x
_atom_site_fract_y
_atom_site_fract_z
_atom_site_occupancy
Ba1 Ba 0.084 0.000 0.403 1
Ba2 Ba 0.195 0.500 0.779 1
P1 P 0.000 0.500 0.500 1
Br1 Br 0.116 0.000 0.899 1
Br2 Br 0.198 0.500 0.306 1
# E = -3.98 eV per atom
# raw formation energy = -1550 kJ/mol of formula units

No. 7
# Ba8PPd3Br4 (PBE, relaxed)
data_Ba8PPd3Br4
_chemical_formula_sum 'Ba24 P3 Pd9 Br12'
_cell_length_a 9.2984
_cell_length_b 9.2984
_cell_length_c 24.6763
_cell_angle_alpha 90.00
_cell_angle_beta 90.00
_cell_angle_gamma 120.00
_symmetry_space_group_name_H-M 'R -3 m'
_symmetry_Int_Tables_number 166
_symmetry_space_group_name_Hall '-R 3 2"'
loop_
_atom_site_label
_atom_site_type_symbol
_atom_site_fract_x
_atom_site_fract_y
_atom_site_fract_z
_atom_site_occupancy
Ba1 Ba 0.0000 0.0000 0.2421 1
Ba2 Ba 0.0012 0.5006 0.2367 1
P1 P 0.0000 0.0000 0.5000 1
Pd1 Pd 0.0000 0.5000 0.5000 1
Br1 Br 0.0000 0.0000 0.0000 1
Br2 Br 0.0000 0.5000 0.0000 1
# E = -3.90 eV per atom
# raw formation energy = -1871 kJ/mol of formula units

No. 8
# Ba4PPdBr2 (PBE, relaxed)
data_Ba4PPdBr2
_chemical_formula_sum 'Ba4 P1 Pd1 Br2'
_cell_length_a 8.154
_cell_length_b 4.652
_cell_length_c 8.470
_cell_angle_alpha 90.00
_cell_angle_beta 107.00
_cell_angle_gamma 90.00
_symmetry_space_group_name_H-M 'P 1 2/m 1'
_symmetry_Int_Tables_number 10
loop_
_symmetry_equiv_pos_as_xyz
'x,y,z'
'-x,-y,-z'
'-x,y,-z'
'x,-y,z'
loop_
_atom_site_label
_atom_site_type_symbol
_atom_site_fract_x
_atom_site_fract_y
_atom_site_fract_z
_atom_site_occupancy
Ba1 Ba 0.237 0.000 0.207 1
Ba2 Ba 0.256 0.500 0.781 1
P1 P 0.000 0.500 0.000 1
Pd1 Pd 0.500 0.000 0.000 1
Br1 Br 0.000 0.000 0.500 1
Br2 Br 0.500 0.500 0.500 1
# E = -4.03 eV per atom
# raw formation energy = -1019 kJ/mol of formula units

No. 9
# Ba6PPd2Br2 (PBE, relaxed)
data_Ba6PPd2Br2
_chemical_formula_sum 'Ba12 P2 Pd4 Br4'
_cell_length_a 8.253
_cell_length_b 14.002
_cell_length_c 8.377
_cell_angle_alpha 90.00
_cell_angle_beta 109.30
_cell_angle_gamma 90.00
_symmetry_space_group_name_H-M 'C 1 2/m 1'
_symmetry_Int_Tables_number 12
loop_
_symmetry_equiv_pos_as_xyz
'x,y,z'
'-x,-y,-z'
'-x,y,-z'
'x,-y,z'
'x+1/2,y+1/2,z'
'-x+1/2,-y+1/2,-z'
'-x+1/2,y+1/2,-z'
'x+1/2,-y+1/2,z'
loop_
_atom_site_label
_atom_site_type_symbol
_atom_site_fract_x
_atom_site_fract_y
_atom_site_fract_z
_atom_site_occupancy
Ba1 Ba 0.240 0.163 0.222 1
Ba2 Ba 0.242 0.500 0.212 1
P1 P 0.000 0.000 0.000 1
Pd1 Pd 0.000 0.330 0.000 1
Br1 Br 0.000 0.164 0.500 1
# E = -3.82 eV per atom
# raw formation energy = -1092 kJ/mol of formula units

No. 10
# BaPmPBr (PBE, relaxed)
data_BaPmPBr
_chemical_formula_sum 'Ba3 Pm3 P3 Br3'
_cell_length_a 4.2785
_cell_length_b 4.2785
_cell_length_c 23.8620
_cell_angle_alpha 90.00
_cell_angle_beta 90.00
_cell_angle_gamma 120.00
_symmetry_space_group_name_H-M 'R 3 m'
_symmetry_Int_Tables_number 160
_symmetry_space_group_name_Hall 'R 3 -2"'
loop_
_atom_site_label
_atom_site_type_symbol
_atom_site_fract_x
_atom_site_fract_y
_atom_site_fract_z
_atom_site_occupancy
Ba1 Ba 0.0000 0.0000 0.0000 1
Pm1 Pm 0.0000 0.0000 0.8045 1
P1 P 0.0000 0.0000 0.4134 1
Br1 Br 0.0000 0.0000 0.2250 1
# E = -4.92 eV per atom
# raw formation energy = -570 kJ/mol of formula units

No. 11
# Ba6PPt2Br3 (PBE, relaxed)
data_Ba6PPt2Br3
_chemical_formula_sum 'Ba12 P2 Pt4 Br6'
_cell_length_a 8.046
_cell_length_b 13.941
_cell_length_c 8.563
_cell_angle_alpha 90.00
_cell_angle_beta 108.33
_cell_angle_gamma 90.00
_symmetry_space_group_name_H-M 'C 1 2/m 1'
_symmetry_Int_Tables_number 12
loop_
_symmetry_equiv_pos_as_xyz
'x,y,z'
'-x,-y,-z'
'-x,y,-z'
'x,-y,z'
'x+1/2,y+1/2,z'
'-x+1/2,-y+1/2,-z'
'-x+1/2,y+1/2,-z'
'x+1/2,-y+1/2,z'
loop_
_atom_site_label
_atom_site_type_symbol
_atom_site_fract_x
_atom_site_fract_y
_atom_site_fract_z
_atom_site_occupancy
Ba1 Ba 0.237 0.166 0.212 1
Ba2 Ba 0.238 0.500 0.212 1
P1 P 0.000 0.000 0.000 1
Pt1 Pt 0.000 0.333 0.000 1
Br1 Br 0.000 0.164 0.500 1
Br2 Br 0.000 0.500 0.500 1
# E = -4.18 eV per atom
# raw formation energy = -1555 kJ/mol of formula units

No. 12
# Ba6P2PtBr3 (PBE, relaxed)
data_Ba6P2PtBr3
_chemical_formula_sum 'Ba12 P4 Pt2 Br6'
_cell_length_a 8.100
_cell_length_b 14.006
_cell_length_c 8.475
_cell_angle_alpha 90.00
_cell_angle_beta 108.70
_cell_angle_gamma 90.00
_symmetry_space_group_name_H-M 'C 1 2/m 1'
_symmetry_Int_Tables_number 12
loop_
_symmetry_equiv_pos_as_xyz
'x,y,z'
'-x,-y,-z'
'-x,y,-z'
'x,-y,z'
'x+1/2,y+1/2,z'
'-x+1/2,-y+1/2,-z'
'-x+1/2,y+1/2,-z'
'x+1/2,-y+1/2,z'
loop_
_atom_site_label
_atom_site_type_symbol
_atom_site_fract_x
_atom_site_fract_y
_atom_site_fract_z
_atom_site_occupancy
Ba1 Ba 0.237 0.000 0.215 1
Ba2 Ba 0.238 0.333 0.213 1
P1 P 0.000 0.166 0.000 1
Pt1 Pt 0.000 0.500 0.000 1
Br1 Br 0.000 0.000 0.500 1
Br2 Br 0.000 0.329 0.500 1
# E = -4.23 eV per atom
# raw formation energy = -1669 kJ/mol of formula units